#w
The following is a DFT calculation (PBE+U) of a geometry-optimized Co2HO structure.

```
Co2HO
1.0
4.349 0.000 0.000
0.000 4.349 0.000
2.174 2.174 4.290
H Co O
2 4 2
Cartesian
2.174 2.174 0.000
2.174 4.349 2.145
3.143 1.087 1.072
1.206 3.261 1.072
3.261 3.380 3.217
5.436 5.317 3.217
0.000 0.000 0.000
4.349 2.174 2.145
```

- total moment (μB per cell) = 10.000
- crystal system = tetragonal

=====

#x
The following is a DFT calculation (PBE+U) of a geometry-optimized Co2HO structure.

```
Co2HO
1.0
0.000 2.619 2.619
2.619 0.000 2.619
2.619 2.619 0.000
H Co O
1 2 1
Cartesian
0.000 0.000 0.000
1.309 1.309 1.309
3.928 3.928 3.928
2.619 2.619 2.619
```

- total moment (μB per cell) = 5.034
- crystal system = cubic

=====

Stability comparison, relative energies in meV/atom: #w 0; #x 520

=====

#w
The following is a DFT calculation (PBE+U) of a geometry-optimized CoReHOsO structure.

```
CoReHOsO
1.0
3.604 0.000 0.042
0.000 2.730 0.000
-0.845 0.000 12.453
Co Re H Os O
2 2 2 2 2
Cartesian
2.295 0.000 2.341
1.873 1.365 8.568
1.509 0.000 11.970
1.932 1.365 5.744
-0.492 0.000 8.699
-0.070 1.365 2.472
0.135 0.000 7.049
0.557 1.365 0.823
1.931 0.000 4.274
1.509 1.365 10.500
```

- total moment (μB per cell) = 4.045
- crystal system = monoclinic

=====

#x
The following is a DFT calculation (PBE+U) of a geometry-optimized CoReHOsO structure.

```
CoReHOsO
1.0
2.830 0.000 0.000
0.000 2.878 0.000
0.000 0.000 6.925
Co Re H Os O
1 1 1 1 1
Cartesian
0.000 0.000 2.913
1.415 1.439 5.390
1.415 0.000 1.274
0.000 0.000 0.095
1.415 1.439 3.361
```

- total moment (μB per cell) = 2.162
- crystal system = orthorhombic

=====

#y
The following is a DFT calculation (PBE+U) of a geometry-optimized CoReHOsO structure.

```
CoReHOsO
1.0
-0.880 -2.517 -4.086
0.769 -2.336 1.273
-7.288 0.174 4.721
Co Re H Os O
2 2 2 2 2
Cartesian
-1.821 -0.741 -0.260
-5.080 -1.822 2.737
-7.765 -1.333 2.245
-3.736 -2.588 0.521
-4.779 -0.084 2.733
-0.751 -1.339 1.009
-6.261 -1.953 0.198
-2.232 -3.208 -1.526
-7.160 -0.350 3.683
-3.131 -1.605 1.959
```

- total moment (μB per cell) = 3.495
- crystal system = monoclinic

=====

#z
The following is a DFT calculation (PBE+U) of a geometry-optimized CoReHOsO structure.

```
CoReHOsO
1.0
2.629 0.044 0.705
-0.085 4.026 0.056
-0.058 -0.083 5.435
Co Re H Os O
1 1 1 1 1
Cartesian
1.334 2.107 2.771
2.172 0.079 5.032
0.532 0.120 0.655
0.609 2.134 0.240
1.246 0.085 3.231
```

- total moment (μB per cell) = 2.120
- crystal system = triclinic

=====

Stability comparison, relative energies in meV/atom: #w 0; #x 21; #y 279; #z 128

=====

#w
The following is a DFT calculation (PBE+U) of a geometry-optimized CoReHOsO structure.

```
CoReHOsO
1.0
-2.567 -0.898 0.918
0.891 -2.694 -0.145
3.468 0.821 6.059
Co Re H Os O
1 1 1 1 1
Cartesian
1.244 -1.205 2.189
0.450 -0.147 5.504
-0.818 -0.361 1.675
-0.764 -1.776 0.471
0.404 -1.578 3.974
```

- total moment (μB per cell) = 2.375
- crystal system = monoclinic

=====

#x
The following is a DFT calculation (PBE+U) of a geometry-optimized CoReHOsO structure.

```
CoReHOsO
1.0
2.852 0.000 0.033
0.000 2.817 0.000
-2.617 0.000 13.658
Co Re H Os O
2 2 2 2 2
Cartesian
-1.125 0.000 11.295
0.184 1.409 4.466
-1.193 0.000 7.493
0.115 1.409 0.664
1.330 0.000 4.062
0.022 1.409 10.891
1.517 0.000 2.345
0.209 1.409 9.175
0.365 0.000 12.842
1.674 1.409 6.013
```

- total moment (μB per cell) = 5.035
- crystal system = monoclinic

=====

#y
The following is a DFT calculation (PBE+U) of a geometry-optimized CoReHOsO structure.

```
CoReHOsO
1.0
2.846 0.000 0.000
0.000 2.871 0.000
0.000 0.000 13.614
Co Re H Os O
2 2 2 2 2
Cartesian
0.000 1.436 5.287
1.423 0.000 12.094
0.000 1.436 1.401
1.423 0.000 8.208
0.000 0.000 11.059
1.423 1.436 4.252
0.000 1.436 9.843
1.423 0.000 3.036
0.000 0.000 6.672
1.423 1.436 13.479
```

- total moment (μB per cell) = 5.121
- crystal system = orthorhombic

=====

Stability comparison, relative energies in meV/atom: #w 28; #x 0; #y 15

=====

#w
The following is a DFT calculation (PBE+U) of a geometry-optimized CoReHOsO structure.

```
CoReHOsO
1.0
-2.114 0.315 -4.232
0.220 -2.706 -0.312
-6.837 -1.149 5.146
Co Re H Os O
2 2 2 2 2
Cartesian
-5.787 -0.657 1.608
-2.258 -1.435 -1.121
-8.477 -0.904 1.858
-4.949 -1.683 -0.871
-1.159 -0.079 -0.130
-4.468 -2.007 2.287
-1.986 -0.330 1.464
-5.294 -2.258 3.881
-4.130 -0.389 0.454
-7.438 -2.317 2.872
```

- total moment (μB per cell) = 3.981
- crystal system = monoclinic

=====

#x
The following is a DFT calculation (PBE+U) of a geometry-optimized CoReHOsO structure.

```
CoReHOsO
1.0
2.842 0.000 0.000
0.000 2.835 0.000
0.000 0.000 13.973
Co Re H Os O
2 2 2 2 2
Cartesian
1.421 0.000 13.533
1.421 1.417 6.547
1.421 0.000 3.146
1.421 1.417 10.133
0.000 0.000 6.662
0.000 1.417 13.648
0.000 0.000 8.438
0.000 1.417 1.451
1.421 0.000 11.592
1.421 1.417 4.605
```

- total moment (μB per cell) = 5.080
- crystal system = orthorhombic

=====

Stability comparison, relative energies in meV/atom: #w 264; #x 0

=====

#w
The following is a DFT calculation (PBE+U) of a geometry-optimized CoReHOsO structure.

```
CoReHOsO
1.0
2.826 0.003 -0.003
0.003 2.811 -0.006
-1.403 -0.328 7.511
Co Re H Os O
1 1 1 1 1
Cartesian
-0.802 1.907 5.981
0.594 2.264 1.961
2.003 0.384 4.017
2.003 0.852 0.313
2.009 2.285 3.608
```

- total moment (μB per cell) = 2.080
- crystal system = triclinic

=====

#x
The following is a DFT calculation (PBE+U) of a geometry-optimized CoReHOsO structure.

```
CoReHOsO
1.0
-0.604 1.633 -5.193
-1.156 -2.339 -0.601
-7.876 3.103 3.074
Co Re H Os O
2 2 2 2 2
Cartesian
-3.278 2.420 -3.113
-7.794 2.803 -1.876
-0.787 1.157 -2.991
-5.303 1.540 -1.754
-2.270 1.061 0.240
-6.786 1.443 1.477
-5.733 3.649 -3.171
-2.373 0.927 -5.009
-4.883 2.412 0.006
-1.523 -0.309 -1.832
```

- total moment (μB per cell) = 4.091
- crystal system = monoclinic

=====

#y
The following is a DFT calculation (PBE+U) of a geometry-optimized CoReHOsO structure.

```
CoReHOsO
1.0
3.666 0.000 0.000
0.000 2.734 0.000
0.000 0.000 5.606
Co Re H Os O
1 1 1 1 1
Cartesian
1.833 1.367 2.453
0.000 0.000 4.236
1.833 0.000 1.261
1.833 1.367 5.508
0.000 1.367 2.698
```

- total moment (μB per cell) = 0.341
- crystal system = orthorhombic

=====

Stability comparison, relative energies in meV/atom: #w 0; #x 206; #y 133